## GeHPd3 (PBE-GGA)

Data for a relaxed GeHPd3 crystal.

Unit cell a=5.9076 b=5.9076 c=3.8580 alpha=90.08 beta=90.08 gamma=78.20
Last column: nearest neighbours and their distance in Å.
Positions (direct):
Ge (0.1982, 0.1982, 0.2576)  8 Pd 2.54-2.77
Ge (0.8018, 0.8018, 0.7424)  8 Pd 2.54-2.77
H (0.3420, 0.6580, 0.5000)  4 Pd 1.83-1.86
H (0.6580, 0.3420, 0.5000)  4 Pd 1.83-1.86
Pd (0.0779, 0.6772, 0.2430)  1 H 1.83
Pd (0.3228, 0.9221, 0.7570)  1 H 1.83
Pd (0.3857, 0.3857, 0.7544)  2 H 1.86
Pd (0.6143, 0.6143, 0.2456)  2 H 1.86
Pd (0.6772, 0.0779, 0.2430)  1 H 1.83
Pd (0.9221, 0.3228, 0.7570)  1 H 1.83

Calculated values
**Total magnetic moment**: 0.000 μB/atom
**Polymorph energy (0 for the lowest one)**: 0 meV per atom
**Space group**: C2/m
**Density of states at the Fermi level**: 0.3526 states/eV per atom
**Crystal system**: monoclinic